# LiIn2Au4 PBE-GGA relaxed
# - distance to the lowest polymorph of the same formula (meV/atom) = 57
# - formation energy from the elements (meV/atom) = -219
# - crystal system = monoclinic
data_LiIn2Au4
_symmetry_space_group_name_H-M 'P 1 21/m 1'
_symmetry_Int_Tables_number 11
_symmetry_space_group_name_Hall '-P 2yb'
_cell_length_a 6.717
_cell_length_b 5.346
_cell_length_c 8.192
_cell_angle_alpha 90.00
_cell_angle_beta 100.49
_cell_angle_gamma 90.00
loop_
_atom_site_label
_atom_site_type_symbol
_atom_site_fract_x
_atom_site_fract_y
_atom_site_fract_z
Li1 Li 0.177 0.250 0.193
In1 In 0.256 0.750 0.985
In2 In 0.274 0.750 0.439
Au1 Au 0.085 0.250 0.858
Au2 Au 0.126 0.250 0.507
Au3 Au 0.459 0.000 0.751